Entry 1:
# ZnAsBr (GGA-PBE, optimized geometry)
# Energy relative to the elements, uncorrected, eV per atom: 0.08
# Distance to the lowest polymorph of the same formula, meV per atom: 327
# Energy, eV for the cell shown: -7.35
# Crystal system: orthorhombic
data_ZnAsBr
_cell_length_a 8.184
_cell_length_b 7.724
_cell_length_c 3.589
_cell_angle_alpha 84.24
_cell_angle_beta 69.89
_cell_angle_gamma 25.87
_space_group_name_H-M_alt 'P 1'
_space_group_IT_number 1
loop_
_space_group_symop_operation_xyz
'x,y,z'
loop_
_atom_site_label
_atom_site_fract_x
_atom_site_fract_y
_atom_site_fract_z
As1 0.960 0.960 0.040
Br1 0.710 0.710 0.290
Zn1 0.330 0.330 0.670

=====

Entry 2:
# HfPt2C (GGA-PBE, optimized geometry)
# ΔE_f, eV/atom: 0.004
# Energy, eV for the cell shown: -62.49
# Crystal system: tetragonal
data_HfPt2C
_cell_length_a 5.357
_cell_length_b 5.357
_cell_length_c 6.364
_cell_angle_alpha 65.11
_cell_angle_beta 65.11
_cell_angle_gamma 90.00
_space_group_name_H-M_alt 'P 1'
_space_group_IT_number 1
loop_
_space_group_symop_operation_xyz
'x,y,z'
loop_
_atom_site_label
_atom_site_fract_x
_atom_site_fract_y
_atom_site_fract_z
C1 0.500 0.500 0.000
C2 0.250 0.750 0.500
Hf1 0.000 0.000 0.000
Hf2 0.750 0.250 0.500
Pt1 0.528 0.125 0.250
Pt2 0.222 0.625 0.250
Pt3 0.375 0.472 0.750
Pt4 0.875 0.778 0.750

=====

Entry 3:
# ThZnNiPd (GGA-PBE, optimized geometry)
# ΔE_f, eV/atom: -0.567
# Distance to the lowest polymorph of the same formula, meV per atom: 0
# Energy, eV for the cell shown: -21.94
# Crystal system: trigonal
data_ThZnNiPd
_cell_length_a 4.344
_cell_length_b 4.343
_cell_length_c 5.253
_cell_angle_alpha 114.38
_cell_angle_beta 90.00
_cell_angle_gamma 120.01
_space_group_name_H-M_alt 'P 1'
_space_group_IT_number 1
loop_
_space_group_symop_operation_xyz
'x,y,z'
loop_
_atom_site_label
_atom_site_fract_x
_atom_site_fract_y
_atom_site_fract_z
Th1 0.615 0.229 0.486
Zn1 0.125 0.251 0.018
Ni1 0.826 0.652 0.120
Pd1 0.400 0.800 0.843

=====

Entry 4:
# AlW2Cl (GGA-PBE, optimized geometry)
# Energy relative to the elements, uncorrected, eV per atom: 0.83
# Distance to the lowest polymorph of the same formula, meV per atom: 591
# Energy, eV for the cell shown: -28.19
# Crystal system: cubic
data_AlW2Cl
_cell_length_a 4.528
_cell_length_b 4.528
_cell_length_c 4.528
_cell_angle_alpha 60.00
_cell_angle_beta 60.00
_cell_angle_gamma 60.00
_space_group_name_H-M_alt 'P 1'
_space_group_IT_number 1
loop_
_space_group_symop_operation_xyz
'x,y,z'
loop_
_atom_site_label
_atom_site_fract_x
_atom_site_fract_y
_atom_site_fract_z
Al1 0.500 0.500 0.500
W1 0.000 0.000 0.000
W2 0.250 0.250 0.250
Cl1 0.750 0.750 0.750

=====

Entry 5:
# KBeInHg2 (GGA-PBE, optimized geometry)
# ΔE_f, eV/atom: 0.053
# Energy, eV for the cell shown: -7.90
# Crystal system: tetragonal
data_KBeInHg2
_cell_length_a 5.129
_cell_length_b 5.129
_cell_length_c 4.965
_cell_angle_alpha 90.00
_cell_angle_beta 90.00
_cell_angle_gamma 90.00
_space_group_name_H-M_alt 'P 1'
_space_group_IT_number 1
loop_
_space_group_symop_operation_xyz
'x,y,z'
loop_
_atom_site_label
_atom_site_fract_x
_atom_site_fract_y
_atom_site_fract_z
Be1 0.000 0.000 0.000
K1 0.500 0.500 0.500
Hg1 0.000 0.500 0.000
Hg2 0.500 0.000 0.000
In1 0.000 0.000 0.500

=====

Entry 6:
# Pu11Bi9Rh4 (GGA-PBE, optimized geometry)
# ΔE_f, eV/atom: -0.381
# Energy, eV for the cell shown: -231.14
# Crystal system: orthorhombic
data_Pu11Bi9Rh4
_cell_length_a 4.098
_cell_length_b 12.775
_cell_length_c 12.775
_cell_angle_alpha 110.42
_cell_angle_beta 90.00
_cell_angle_gamma 90.00
_space_group_name_H-M_alt 'P 1'
_space_group_IT_number 1
loop_
_space_group_symop_operation_xyz
'x,y,z'
loop_
_atom_site_label
_atom_site_fract_x
_atom_site_fract_y
_atom_site_fract_z
Pu1 0.000 0.581 0.919
Pu2 0.000 0.419 0.081
Pu3 0.000 0.919 0.581
Pu4 0.000 0.081 0.419
Pu5 0.000 0.628 0.372
Pu6 0.000 0.372 0.628
Pu7 0.000 0.837 0.163
Pu8 0.000 0.163 0.837
Pu9 0.000 0.000 0.000
Pu10 0.000 0.692 0.692
Pu11 0.000 0.308 0.308
Bi1 0.500 0.625 0.147
Bi2 0.500 0.375 0.853
Bi3 0.500 0.147 0.625
Bi4 0.500 0.853 0.375
Bi5 0.500 0.782 0.938
Bi6 0.500 0.218 0.062
Bi7 0.500 0.938 0.782
Bi8 0.500 0.062 0.218
Bi9 0.500 0.500 0.500
Rh1 0.500 0.556 0.753
Rh2 0.500 0.444 0.247
Rh3 0.500 0.753 0.556
Rh4 0.500 0.247 0.444

=====

Q: What is the energy in the first record?
A: -7.35 eV for the cell shown